## La3Tb3Sm2 (PBE-GGA)

Data for an optimized crystal structure of La3Tb3Sm2.

The structure in POSCAR format:
```
La3Tb3Sm2
1.0
5.114 0.000 0.000
0.000 5.174 0.000
0.000 0.000 20.754
La Tb Sm
6 6 4
Cartesian
0.000 0.000 0.000
0.000 2.587 2.566
0.000 2.587 18.188
2.557 0.000 7.811
2.557 0.000 12.943
2.557 2.587 10.377
0.000 0.000 10.377
0.000 2.587 7.744
0.000 2.587 13.010
2.557 0.000 2.633
2.557 0.000 18.121
2.557 2.587 0.000
0.000 0.000 5.166
0.000 0.000 15.588
2.557 2.587 5.211
2.557 2.587 15.543
```

Properties
Total DFT energy (no corrections) = -4.739 eV per atom
Distance to the lowest polymorph of the same formula = 3.8 meV/atom
Density of states at the Fermi level = 27.44 states/eV per cell